Record 1
LaSm6Ho2Er3: optimized geometry, PBE.

a = 6.2271 Å, b = 6.2271 Å, c = 11.8794 Å
α = 95.01°, β = 95.01°, γ = 119.99°
Sites, in units of the cell vectors:
La (0.0000, 0.0000, 0.0000)
Sm (0.0847, 0.4194, 0.2531)
Sm (0.2498, 0.2498, 0.7466)
Sm (0.4194, 0.0847, 0.2531)
Sm (0.5806, 0.9153, 0.7469)
Sm (0.7502, 0.7502, 0.2534)
Sm (0.9153, 0.5806, 0.7469)
Ho (0.3335, 0.6665, 0.0000)
Ho (0.6665, 0.3335, 0.0000)
Er (0.1672, 0.8328, 0.5000)
Er (0.5000, 0.5000, 0.5000)
Er (0.8328, 0.1672, 0.5000)

Output
**DFT total energy**: -55.84 eV/cell
**Calculated formation energy**: 0.020 eV/atom
**Total magnetic moment**: 0.00 μB/f.u.
**Density of states at the Fermi level**: 15.291 states/eV per cell



Record 2
CsVHgTe3: optimized geometry, PBE.

a = 8.5186 Å, b = 8.5186 Å, c = 7.6180 Å
α = 90.10°, β = 90.10°, γ = 123.79°
Sites, in units of the cell vectors:
Cs (0.2355, 0.7645, 0.7500)
Cs (0.7645, 0.2355, 0.2500)
V (0.0606, 0.9394, 0.2500)
V (0.9394, 0.0606, 0.7500)
Hg (0.4355, 0.5645, 0.2500)
Hg (0.5645, 0.4355, 0.7500)
Te (0.2100, 0.2114, 0.4999)
Te (0.2114, 0.2100, 0.9999)
Te (0.2283, 0.7717, 0.2500)
Te (0.7717, 0.2283, 0.7500)
Te (0.7886, 0.7900, 0.0001)
Te (0.7900, 0.7886, 0.5001)

Output
**DFT total energy**: -44.29 eV/cell
**Energy relative to the elements, uncorrected**: -2.45 eV per formula unit
**Total magnetic moment**: 1.14 μB/f.u.
**Density of states at the Fermi level**: 4.599 states/eV per cell



Record 3
HoScCS: optimized geometry, PBE.

a = 6.4633 Å, b = 6.4633 Å, c = 6.4633 Å
α = 32.17°, β = 32.17°, γ = 32.17°
Sites, in units of the cell vectors:
Ho (0.0000, 0.0000, 0.0000)
Sc (0.4731, 0.4731, 0.4731)
C (0.7394, 0.7394, 0.7394)
S (0.2310, 0.2310, 0.2310)

Output
**DFT total energy**: -29.41 eV/cell
**Energy relative to the elements, uncorrected**: -5.15 eV per formula unit
**Total magnetic moment**: 0.00 μB/f.u.
**Density of states at the Fermi level**: 0.263 states/eV per cell



Record 4
Ac2Ag4Sn3Ge: optimized geometry, PBE.

a = 4.7243 Å, b = 4.7243 Å, c = 11.3476 Å
α = 90.00°, β = 90.00°, γ = 90.00°
Sites, in units of the cell vectors:
Ac (0.0000, 0.5000, 0.2465)
Ac (0.5000, 0.0000, 0.7535)
Ag (0.0000, 0.0000, 0.5000)
Ag (0.0000, 0.5000, 0.8729)
Ag (0.5000, 0.0000, 0.1271)
Ag (0.5000, 0.5000, 0.5000)
Sn (0.0000, 0.0000, 0.0000)
Sn (0.0000, 0.5000, 0.6343)
Sn (0.5000, 0.0000, 0.3657)
Ge (0.5000, 0.5000, 0.0000)

Output
**DFT total energy**: -40.32 eV/cell
**Calculated formation energy**: -0.407 eV/atom
**Total magnetic moment**: 0.00 μB/f.u.
**Density of states at the Fermi level**: 3.866 states/eV per cell



Record 5
Li2PtO4: optimized geometry, PBE.

a = 5.8136 Å, b = 5.8136 Å, c = 5.8136 Å
α = 139.11°, β = 139.11°, γ = 59.21°
Sites, in units of the cell vectors:
Li (0.1278, 0.1278, 0.0000)
Li (0.8722, 0.8722, 0.0000)
Pt (0.5000, 0.5000, 0.0000)
O (0.0000, 0.5000, 0.5000)
O (0.3150, 0.3150, 0.0000)
O (0.5000, 0.0000, 0.5000)
O (0.6850, 0.6850, 0.0000)

Output
**DFT total energy**: -34.73 eV/cell
**Energy relative to the elements, uncorrected**: -5.03 eV per formula unit
**Total magnetic moment**: 1.91 μB/f.u.
**Density of states at the Fermi level**: 4.238 states/eV per cell



Record 6
La2BeGeN: optimized geometry, PBE.

a = 5.4102 Å, b = 5.4102 Å, c = 3.3410 Å
α = 90.00°, β = 90.00°, γ = 90.00°
Sites, in units of the cell vectors:
La (0.0000, 0.5000, 0.0000)
La (0.5000, 0.0000, 0.0000)
Be (0.0000, 0.0000, 0.5000)
Ge (0.5000, 0.5000, 0.5000)
N (0.0000, 0.0000, 0.0000)

Output
**DFT total energy**: -30.51 eV/cell
**Energy relative to the elements, uncorrected**: -3.98 eV per formula unit
**Total magnetic moment**: 0.00 μB/f.u.
**Density of states at the Fermi level**: 2.400 states/eV per cell